(1)
DFT (PBE) results for an optimized crystal structure of AlReAs2.

Cell lengths 2.8957, 2.8957, 9.3022 Å; angles 90.00, 90.00, 111.17 degrees
Last column: nearest neighbours and their distance in Å.
Sites, in units of the cell vectors:
Al 0.5000 0.5000 0.7300  2 Re 2.61, 2 As 2.63, 4 Al 2.90
As 0.0000 0.0000 0.9511  2 Al 2.63, 4 As 2.90
As 0.5000 0.5000 0.3073  2 Re 2.51
Re 0.0000 0.0000 0.5116  2 As 2.51, 2 Al 2.61

Results
magnetic moment = 0.00 μB per cell

---

(2)
DFT (PBE) results for an optimized crystal structure of Sm2BeHg.

Cell lengths 3.5892, 3.5892, 7.4895 Å; angles 90.00, 90.00, 90.00 degrees
Last column: nearest neighbours and their distance in Å.
Sites, in units of the cell vectors:
Sm 0.0000 0.0000 0.2211  4 Be 3.03, 4 Hg 3.29, 1 Sm 3.31
Hg 0.5000 0.5000 0.5000  8 Sm 3.29, 4 Hg 3.59
Sm 0.0000 0.0000 0.7789  4 Be 3.03, 4 Hg 3.29, 1 Sm 3.31
Be 0.5000 0.5000 0.0000  8 Sm 3.03

Results
magnetic moment = 0.00 μB per cell

---

Number 1: formation energy from the elements 1.05 eV/f.u., ΔE to the lowest computed polymorph 5.27 kcal/mol of atoms. Number 2: formation energy from the elements -0.65 eV/f.u., ΔE to the lowest computed polymorph 0.00 kcal/mol of atoms.